[1]
## ZrMn2As (PBE-GGA)

Data for an optimized crystal structure of ZrMn2As.

D(E_F) = 16.2 states/eV/cell
magnetization = 0.25 μB/atom
energy of formation from the pure elements = -0.112 eV per atom

The structure in CIF format:
```
data_ZrMn2As
_chemical_formula_sum 'Zr4 Mn8 As4'
_space_group_name_H-M_alt 'F m -3 m'
_space_group_IT_number 225
_space_group_name_Hall '-F 4 2 3'
_cell_length_a 6.053
_cell_length_b 6.053
_cell_length_c 6.053
_cell_angle_alpha 90.00
_cell_angle_beta 90.00
_cell_angle_gamma 90.00
loop_
_atom_site_label
_atom_site_type_symbol
_atom_site_fract_x
_atom_site_fract_y
_atom_site_fract_z
Zr1 Zr 0.000 0.000 0.000
Mn1 Mn 0.250 0.250 0.250
As1 As 0.000 0.000 0.500
```

[2]
## ZrMn2As (PBE-GGA)

Data for an optimized crystal structure of ZrMn2As.

D(E_F) = 6.3 states/eV/cell
magnetization = 1.11 μB/atom
energy of formation from the pure elements = -0.143 eV per atom

The structure in CIF format:
```
data_ZrMn2As
_chemical_formula_sum 'Zr2 Mn4 As2'
_space_group_name_H-M_alt 'C 1 2/m 1'
_space_group_IT_number 12
_cell_length_a 8.633
_cell_length_b 3.389
_cell_length_c 4.449
_cell_angle_alpha 90.00
_cell_angle_beta 107.42
_cell_angle_gamma 90.00
loop_
_space_group_symop_operation_xyz
'x,y,z'
'-x,-y,-z'
'-x,y,-z'
'x,-y,z'
'x+1/2,y+1/2,z'
'-x+1/2,-y+1/2,-z'
'-x+1/2,y+1/2,-z'
'x+1/2,-y+1/2,z'
loop_
_atom_site_label
_atom_site_type_symbol
_atom_site_fract_x
_atom_site_fract_y
_atom_site_fract_z
Zr1 Zr 0.000 0.000 0.000
Mn1 Mn 0.238 0.000 0.722
As1 As 0.000 0.500 0.500
```

[3]
## Mo3As (PBE-GGA)

Data for an optimized crystal structure of Mo3As.

D(E_F) = 5.2 states/eV/cell
polymorph energy (0 for the lowest one) = 0.034 eV per atom
magnetization = 0.00 μB/atom
energy of formation from the pure elements = 0.027 eV per atom

The structure in CIF format:
```
data_Mo3As
_chemical_formula_sum 'Mo6 As2'
_space_group_name_H-M_alt 'I m m m'
_space_group_IT_number 71
_space_group_name_Hall '-I 2 2'
_cell_length_a 3.235
_cell_length_b 4.207
_cell_length_c 9.054
_cell_angle_alpha 90.00
_cell_angle_beta 90.00
_cell_angle_gamma 90.00
loop_
_atom_site_label
_atom_site_type_symbol
_atom_site_fract_x
_atom_site_fract_y
_atom_site_fract_z
Mo1 Mo 0.000 0.000 0.000
Mo2 Mo 0.000 0.500 0.247
As1 As 0.000 0.000 0.500
```

[4]
## MoAs3 (PBE-GGA)

Data for an optimized crystal structure of MoAs3.

D(E_F) = 4.7 states/eV/cell
polymorph energy (0 for the lowest one) = 0.000 eV per atom
magnetization = 0.00 μB/atom
energy of formation from the pure elements = -0.020 eV per atom

The structure in CIF format:
```
data_MoAs3
_chemical_formula_sum 'Mo2 As6'
_space_group_name_H-M_alt 'C 1 2 1'
_space_group_IT_number 5
_cell_length_a 8.759
_cell_length_b 5.329
_cell_length_c 3.339
_cell_angle_alpha 90.00
_cell_angle_beta 112.29
_cell_angle_gamma 90.00
loop_
_space_group_symop_operation_xyz
'x,y,z'
'-x,y,-z'
'x+1/2,y+1/2,z'
'-x+1/2,y+1/2,-z'
loop_
_atom_site_label
_atom_site_type_symbol
_atom_site_fract_x
_atom_site_fract_y
_atom_site_fract_z
Mo1 Mo 0.000 0.000 0.000
As1 As 0.000 0.356 0.500
As2 As 0.191 0.713 0.692
```